Model w:
3
Lattice="4.547 0.000 0.000 -2.274 3.938 0.000 0.000 0.000 2.838" Properties=species:S:1:pos:R:3 comment="AgAsW | the Alexandria database | PBE | optimized geometry" space_group=P-6m2 crystal_system=hexagonal pbc="T T T"
As 0.000 2.625 1.421
Ag 0.000 0.000 2.836
W 2.274 1.313 1.419

=====

Model x:
3
Lattice="-2.537 0.183 1.651 2.283 -1.772 0.919 2.601 5.128 3.427" Properties=species:S:1:pos:R:3 comment="AgAsW | the Alexandria database | PBE | optimized geometry" space_group=P3m1 crystal_system=trigonal pbc="T T T"
As 1.628 0.757 2.417
Ag 2.584 5.094 3.405
W 0.736 2.817 3.603

=====

Model y:
3
Lattice="7.242 0.007 0.000 6.113 3.884 0.000 -6.677 -1.946 2.019" Properties=species:S:1:pos:R:3 comment="AgAsW | the Alexandria database | PBE | optimized geometry" space_group=I4mm crystal_system=tetragonal pbc="T T T"
As 9.287 2.706 0.000
Ag 13.059 3.805 0.000
W 4.363 1.271 0.000

=====

From most stable to least stable, the computed energies give model x, model y, model w.